## AgBiSb2 (PBE-GGA)

Data for a relaxed AgBiSb2 crystal.

abc: 8.1188 8.1188 8.1188
angles: 132.09 132.09 70.08
Last column: nearest neighbours and their distance in Å.
Fractional coordinates of all 8 atoms:
1 Ag 0.0000 0.0000 0.0000  4 Sb 2.74
2 Ag 0.7500 0.2500 0.5000  4 Sb 2.74
3 Bi 0.2500 0.7500 0.5000  4 Sb 3.00
4 Bi 0.5000 0.5000 0.0000  4 Sb 3.00
5 Sb 0.0903 0.6250 0.9653  2 Ag 2.74, 2 Bi 3.00
6 Sb 0.3750 0.3403 0.4653  2 Ag 2.74, 2 Bi 3.00
7 Sb 0.6597 0.1250 0.0347  2 Ag 2.74, 2 Bi 3.00
8 Sb 0.8750 0.9097 0.5347  2 Ag 2.74, 2 Bi 3.00

Values from the calculation:
Space group: I-42d
Formation energy from raw total energies, eV/atom: 0.194